1.
Material: CuPb
Method: DFT, PBE
State: optimized geometry

Structure (extended XYZ):
```
4
Lattice="3.311 0.000 0.000 0.000 3.311 0.000 0.000 0.000 7.848" Properties=species:S:1:pos:R:3 pbc="T T T"
Cu 0.828 0.828 0.496
Cu 2.484 2.484 7.351
Pb 0.828 0.828 5.420
Pb 2.484 2.484 2.428
```

ΔH_f (0 K), kJ/mol of formula units: 33
Total DFT energy (no corrections), eV/atom: -3.7320
Total magnetic moment, μB per atom: 0.00



2.
Material: CuPb
Method: DFT, PBE
State: optimized geometry

Structure (extended XYZ):
```
12
Lattice="13.049 0.000 0.000 0.000 3.374 0.000 -3.287 0.000 5.894" Properties=species:S:1:pos:R:3 pbc="T T T"
Cu 0.000 0.000 0.000
Cu -1.678 1.687 4.859
Cu 3.536 1.687 3.441
Cu 6.525 1.687 0.000
Cu 4.847 0.000 4.859
Cu 10.061 0.000 3.441
Pb -0.832 1.687 2.134
Pb 2.411 0.000 1.366
Pb 1.217 0.000 4.624
Pb 5.693 0.000 2.134
Pb 8.935 1.687 1.366
Pb 7.741 1.687 4.624
```

ΔH_f (0 K), kJ/mol of formula units: 42
Total DFT energy (no corrections), eV/atom: -3.6860
Total magnetic moment, μB per atom: 0.00



3.
Material: CuPb3
Method: DFT, PBE
State: optimized geometry

Structure (extended XYZ):
```
8
Lattice="6.054 0.000 0.000 0.000 6.054 0.000 0.000 0.000 6.054" Properties=species:S:1:pos:R:3 pbc="T T T"
Cu 0.000 0.000 0.000
Cu 3.027 3.027 3.027
Pb 0.000 1.514 3.027
Pb 0.000 4.541 3.027
Pb 1.514 3.027 0.000
Pb 3.027 0.000 1.514
Pb 3.027 0.000 4.541
Pb 4.541 3.027 0.000
```

ΔH_f (0 K), kJ/mol of formula units: 123
Total DFT energy (no corrections), eV/atom: -3.4863
Total magnetic moment, μB per atom: 0.00



4.
Material: CuPb3
Method: DFT, PBE
State: optimized geometry

Structure (extended XYZ):
```
16
Lattice="9.255 0.000 0.000 0.000 11.643 0.000 0.000 0.000 4.105" Properties=species:S:1:pos:R:3 pbc="T T T"
Cu 0.000 0.742 1.026
Cu 0.000 10.901 3.079
Cu 4.627 5.079 3.079
Cu 4.627 6.564 1.026
Pb 0.000 4.509 3.079
Pb 0.000 7.134 1.026
Pb 1.867 1.511 3.079
Pb 1.867 10.132 1.026
Pb 2.761 4.310 1.026
Pb 2.761 7.333 3.079
Pb 4.627 1.312 1.026
Pb 4.627 10.331 3.079
Pb 6.494 4.310 1.026
Pb 6.494 7.333 3.079
Pb 7.388 1.511 3.079
Pb 7.388 10.132 1.026
```

ΔH_f (0 K), kJ/mol of formula units: 53
Total DFT energy (no corrections), eV/atom: -3.6690
Total magnetic moment, μB per atom: 0.00



> Which value of ΔH_f (0 K) does entry 4 give?

53 kJ/mol of formula units



> Look up the total DFT energy (no corrections) of the fourth one.

-3.6690 eV/atom



> Among the records above, which one has the highest total DFT energy (no corrections)?

number 3



> The lowest ΔH_f (0 K) belongs to which entry?

number 1